{"formula": "LiAl2Os", "functional": "PBE-GGA", "state": "relaxed", "mass_density_g_cm3": 6.77, "e_form_ev_per_atom": 0.091, "polymorph_energy_ev_per_atom": 0.494, "lattice_angstrom": [[2.744, 0.000, 0.000], [0.000, 2.744, 0.000], [0.000, 0.000, 8.178]], "species": ["Al", "Al", "Li", "Os"], "frac_coords": [[0.000, 0.000, 0.979], [0.500, 0.500, 0.241], [0.000, 0.000, 0.517], [0.500, 0.500, 0.763]]}